# 1
# UTl2AgSe4 (GGA-PBE, relaxed)
# Space-group type: P2/m
# Formation energy from raw total energies, eV/atom: -0.636
# Total energy, eV/atom: -4.7370
data_UTl2AgSe4
_chemical_formula_sum 'U1 Tl2 Ag1 Se4'
_cell_length_a 6.8385
_cell_length_b 4.1965
_cell_length_c 8.1404
_cell_angle_alpha 90.00
_cell_angle_beta 107.00
_cell_angle_gamma 90.00
_space_group_name_H-M_alt 'P 1'
_space_group_IT_number 1
_space_group_name_Hall 'P 1'
loop_
_atom_site_label
_atom_site_type_symbol
_atom_site_fract_x
_atom_site_fract_y
_atom_site_fract_z
U1 U 0.0000 0.0000 0.0000
Tl1 Tl 0.0000 0.5000 0.5000
Tl2 Tl 0.5000 0.0000 0.5000
Ag1 Ag 0.5000 0.5000 0.0000
Se1 Se 0.2238 0.5000 0.2046
Se2 Se 0.2483 0.0000 0.7952
Se3 Se 0.7517 0.0000 0.2048
Se4 Se 0.7762 0.5000 0.7954

***

# 2
# NiAs2Rh (GGA-PBE, relaxed)
# Space-group type: Pm
# Total energy, eV/atom: -5.8081
# Formation energy, kJ/mol of formula units: -77
data_NiAs2Rh
_chemical_formula_sum 'Ni1 As2 Rh1'
_cell_length_a 3.5592
_cell_length_b 4.6482
_cell_length_c 4.5063
_cell_angle_alpha 90.00
_cell_angle_beta 113.03
_cell_angle_gamma 90.00
_space_group_name_H-M_alt 'P 1'
_space_group_IT_number 1
_space_group_name_Hall 'P 1'
loop_
_atom_site_label
_atom_site_type_symbol
_atom_site_fract_x
_atom_site_fract_y
_atom_site_fract_z
Ni1 Ni 0.0000 0.0000 0.0000
As1 As 0.1069 0.5000 0.2232
As2 As 0.3116 0.0000 0.6194
Rh1 Rh 0.4185 0.5000 0.8426

***

# 3
# LaMnCo2 (GGA-PBE, relaxed)
# Space-group type: P2/m
# Total energy, eV/atom: -6.8580
# Formation energy, kJ/mol of formula units: 85
data_LaMnCo2
_chemical_formula_sum 'La1 Mn1 Co2'
_cell_length_a 3.0410
_cell_length_b 3.1777
_cell_length_c 6.6656
_cell_angle_alpha 90.00
_cell_angle_beta 98.07
_cell_angle_gamma 90.00
_space_group_name_H-M_alt 'P 1'
_space_group_IT_number 1
_space_group_name_Hall 'P 1'
loop_
_atom_site_label
_atom_site_type_symbol
_atom_site_fract_x
_atom_site_fract_y
_atom_site_fract_z
La1 La 0.0000 0.0000 0.0000
Mn1 Mn 0.0000 0.0000 0.5000
Co1 Co 0.4497 0.5000 0.3105
Co2 Co 0.5503 0.5000 0.6895

***

# 4
# AsP2Br8 (GGA-PBE, relaxed)
# Space-group type: C2/m
# Formation energy from raw total energies, eV/atom: -0.183
# Total energy, eV/atom: -2.8064
# Energy above the most stable polymorph in this dataset, kJ/mol of atoms: 2.6
data_AsP2Br8
_chemical_formula_sum 'As1 P2 Br8'
_cell_length_a 7.6346
_cell_length_b 7.6346
_cell_length_c 8.6304
_cell_angle_alpha 100.30
_cell_angle_beta 100.30
_cell_angle_gamma 96.11
_space_group_name_H-M_alt 'P 1'
_space_group_IT_number 1
_space_group_name_Hall 'P 1'
loop_
_atom_site_label
_atom_site_type_symbol
_atom_site_fract_x
_atom_site_fract_y
_atom_site_fract_z
As1 As 0.0000 0.0000 0.0000
P1 P 0.1823 0.1823 0.6231
P2 P 0.8177 0.8177 0.3769
Br1 Br 0.0301 0.7257 0.2377
Br2 Br 0.2294 0.2294 0.2068
Br3 Br 0.2743 0.9699 0.7623
Br4 Br 0.4082 0.4082 0.7160
Br5 Br 0.5918 0.5918 0.2840
Br6 Br 0.7257 0.0301 0.2377
Br7 Br 0.7706 0.7706 0.7932
Br8 Br 0.9699 0.2743 0.7623